(1)
! Sr2LaAg | Alexandria via LeMat-Bulk | PBE-GGA | relaxed; values from VASP
&SYSTEM
  ibrav = 0, nat = 4, ntyp = 3
/
ATOMIC_SPECIES
Sr 87.62 Sr.upf
La 138.91 La.upf
Ag 107.87 Ag.upf
CELL_PARAMETERS angstrom
3.8595 0.0000 0.0000
0.0000 3.8920 0.0000
0.0000 0.0000 9.9965
ATOMIC_POSITIONS angstrom
Sr 0.0000 0.0000 1.9751
Sr 0.0000 0.0000 8.0214
La 1.9297 1.9460 4.9982
Ag 1.9297 1.9460 0.0000
! **Energy above the most stable polymorph in this dataset**: 18 kJ/mol of formula units
! **DFT formation energy**: -34.2 meV/atom

=====

(2)
! SrLa2Ag | Alexandria via LeMat-Bulk | PBE-GGA | relaxed; values from VASP
&SYSTEM
  ibrav = 0, nat = 4, ntyp = 3
/
ATOMIC_SPECIES
Sr 87.62 Sr.upf
La 138.91 La.upf
Ag 107.87 Ag.upf
CELL_PARAMETERS angstrom
0.0000 4.0394 4.0394
4.0394 0.0000 4.0394
4.0394 4.0394 0.0000
ATOMIC_POSITIONS angstrom
Sr 0.0000 0.0000 0.0000
La 2.0197 2.0197 2.0197
La 4.0394 4.0394 4.0394
Ag 6.0590 6.0590 6.0590
! **Energy above the most stable polymorph in this dataset**: 106 kJ/mol of formula units
! **DFT formation energy**: 183.3 meV/atom

=====

(3)
! Sr2LaAg | Alexandria via LeMat-Bulk | PBE-GGA | relaxed; values from VASP
&SYSTEM
  ibrav = 0, nat = 4, ntyp = 3
/
ATOMIC_SPECIES
Sr 87.62 Sr.upf
La 138.91 La.upf
Ag 107.87 Ag.upf
CELL_PARAMETERS angstrom
2.0310 1.1726 11.1520
-2.0310 1.1726 11.1520
0.0000 -2.3452 11.1520
ATOMIC_POSITIONS angstrom
Sr 0.0000 0.0000 0.0000
Sr 0.0000 0.0000 6.6269
La 0.0000 0.0000 14.4752
Ag 0.0000 0.0000 20.0394
! **Energy above the most stable polymorph in this dataset**: 42 kJ/mol of formula units
! **DFT formation energy**: 29.2 meV/atom

=====

(4)
! Sr4LaAg | Alexandria via LeMat-Bulk | PBE-GGA | relaxed; values from VASP
&SYSTEM
  ibrav = 0, nat = 6, ntyp = 3
/
ATOMIC_SPECIES
Sr 87.62 Sr.upf
La 138.91 La.upf
Ag 107.87 Ag.upf
CELL_PARAMETERS angstrom
0.0000 5.2087 5.2087
5.2087 0.0000 5.2087
5.2087 5.2087 0.0000
ATOMIC_POSITIONS angstrom
Sr 3.9138 3.9138 3.9138
Sr 6.5037 6.5037 3.9138
Sr 6.5037 3.9138 6.5037
Sr 3.9138 6.5037 6.5037
La 7.8131 7.8131 7.8131
Ag 0.0000 0.0000 0.0000
! **DFT formation energy**: 483.0 meV/atom